[1]
TePPd2: optimized geometry, PBE-GGA.

Results
Electronic total energy in eV per atom: -4.95
SG: I-42d
Uncorrected formation energy in eV per formula unit: -0.883

Cell and atoms, written as CIF:
```
data_TePPd2
_symmetry_space_group_name_H-M 'P 1'
_symmetry_Int_Tables_number 1
_cell_length_a 8.076
_cell_length_b 8.076
_cell_length_c 8.076
_cell_angle_alpha 145.66
_cell_angle_beta 145.66
_cell_angle_gamma 49.35
loop_
_symmetry_equiv_pos_as_xyz
'x,y,z'
loop_
_atom_site_label
_atom_site_type_symbol
_atom_site_fract_x
_atom_site_fract_y
_atom_site_fract_z
Te1 Te 0.000 0.000 0.000
Te2 Te 0.750 0.250 0.500
P1 P 0.250 0.750 0.500
P2 P 0.500 0.500 0.000
Pd1 Pd 0.210 0.625 0.085
Pd2 Pd 0.375 0.460 0.585
Pd3 Pd 0.540 0.125 0.915
Pd4 Pd 0.875 0.790 0.415
```



[2]
Te2PPd: optimized geometry, PBE-GGA.

Results
Electronic total energy in eV per atom: -4.09
SG: I-42d
Uncorrected formation energy in eV per formula unit: 0.534

Cell and atoms, written as CIF:
```
data_Te2PPd
_symmetry_space_group_name_H-M 'P 1'
_symmetry_Int_Tables_number 1
_cell_length_a 7.621
_cell_length_b 7.621
_cell_length_c 7.621
_cell_angle_alpha 132.91
_cell_angle_beta 132.91
_cell_angle_gamma 68.80
loop_
_symmetry_equiv_pos_as_xyz
'x,y,z'
loop_
_atom_site_label
_atom_site_type_symbol
_atom_site_fract_x
_atom_site_fract_y
_atom_site_fract_z
Te1 Te 0.115 0.625 0.990
Te2 Te 0.375 0.365 0.490
Te3 Te 0.635 0.125 0.010
Te4 Te 0.875 0.885 0.510
P1 P 0.250 0.750 0.500
P2 P 0.500 0.500 0.000
Pd1 Pd 0.000 0.000 0.000
Pd2 Pd 0.750 0.250 0.500
```



[3]
TePPd2: optimized geometry, PBE-GGA.

Results
Electronic total energy in eV per atom: -4.78
SG: Fm-3m
Uncorrected formation energy in eV per formula unit: -0.172

Cell and atoms, written as CIF:
```
data_TePPd2
_symmetry_space_group_name_H-M 'P 1'
_symmetry_Int_Tables_number 1
_cell_length_a 4.630
_cell_length_b 4.630
_cell_length_c 4.630
_cell_angle_alpha 60.00
_cell_angle_beta 60.00
_cell_angle_gamma 60.00
loop_
_symmetry_equiv_pos_as_xyz
'x,y,z'
loop_
_atom_site_label
_atom_site_type_symbol
_atom_site_fract_x
_atom_site_fract_y
_atom_site_fract_z
Te1 Te 0.000 0.000 0.000
P1 P 0.500 0.500 0.500
Pd1 Pd 0.250 0.250 0.250
Pd2 Pd 0.750 0.750 0.750
```



[4]
TePPd4: optimized geometry, PBE-GGA.

Results
Electronic total energy in eV per atom: -5.21
SG: C2/c
Uncorrected formation energy in eV per formula unit: -1.953

Cell and atoms, written as CIF:
```
data_TePPd4
_symmetry_space_group_name_H-M 'P 1'
_symmetry_Int_Tables_number 1
_cell_length_a 7.143
_cell_length_b 7.143
_cell_length_c 5.393
_cell_angle_alpha 97.62
_cell_angle_beta 97.62
_cell_angle_gamma 51.51
loop_
_symmetry_equiv_pos_as_xyz
'x,y,z'
loop_
_atom_site_label
_atom_site_type_symbol
_atom_site_fract_x
_atom_site_fract_y
_atom_site_fract_z
Te1 Te 0.185 0.815 0.750
Te2 Te 0.815 0.185 0.250
P1 P 0.000 0.500 0.000
P2 P 0.500 0.000 0.500
Pd1 Pd 0.094 0.278 0.611
Pd2 Pd 0.278 0.094 0.111
Pd3 Pd 0.339 0.462 0.089
Pd4 Pd 0.462 0.339 0.589
Pd5 Pd 0.538 0.661 0.411
Pd6 Pd 0.661 0.538 0.911
Pd7 Pd 0.722 0.906 0.889
Pd8 Pd 0.906 0.722 0.389
```



[5]
TeP2Pd2: optimized geometry, PBE-GGA.

Results
Electronic total energy in eV per atom: -4.89
SG: I4/mmm
Uncorrected formation energy in eV per formula unit: -0.101

Cell and atoms, written as CIF:
```
data_TeP2Pd2
_symmetry_space_group_name_H-M 'P 1'
_symmetry_Int_Tables_number 1
_cell_length_a 6.499
_cell_length_b 6.499
_cell_length_c 6.499
_cell_angle_alpha 144.78
_cell_angle_beta 144.78
_cell_angle_gamma 50.67
loop_
_symmetry_equiv_pos_as_xyz
'x,y,z'
loop_
_atom_site_label
_atom_site_type_symbol
_atom_site_fract_x
_atom_site_fract_y
_atom_site_fract_z
Te1 Te 0.000 0.000 0.000
P1 P 0.250 0.750 0.500
P2 P 0.750 0.250 0.500
Pd1 Pd 0.380 0.380 0.000
Pd2 Pd 0.620 0.620 0.000
```



[6]
TePPd6: optimized geometry, PBE-GGA.

Results
Electronic total energy in eV per atom: -5.14
SG: C2/m
Uncorrected formation energy in eV per formula unit: -1.407

Cell and atoms, written as CIF:
```
data_TePPd6
_symmetry_space_group_name_H-M 'P 1'
_symmetry_Int_Tables_number 1
_cell_length_a 6.419
_cell_length_b 6.419
_cell_length_c 8.546
_cell_angle_alpha 113.15
_cell_angle_beta 113.15
_cell_angle_gamma 77.25
loop_
_symmetry_equiv_pos_as_xyz
'x,y,z'
loop_
_atom_site_label
_atom_site_type_symbol
_atom_site_fract_x
_atom_site_fract_y
_atom_site_fract_z
Te1 Te 0.000 0.500 0.000
Te2 Te 0.500 0.000 0.000
P1 P 0.000 0.500 0.500
P2 P 0.500 0.000 0.500
Pd1 Pd 0.036 0.697 0.345
Pd2 Pd 0.134 0.749 0.803
Pd3 Pd 0.251 0.866 0.197
Pd4 Pd 0.303 0.964 0.655
Pd5 Pd 0.305 0.305 0.222
Pd6 Pd 0.381 0.381 0.586
Pd7 Pd 0.619 0.619 0.414
Pd8 Pd 0.695 0.695 0.778
Pd9 Pd 0.697 0.036 0.345
Pd10 Pd 0.749 0.134 0.803
Pd11 Pd 0.866 0.251 0.197
Pd12 Pd 0.964 0.303 0.655
```